No. 1
Crystalline Ba2Cd6Ga3 at its relaxed geometry, computed with GGA-PBE.

Unit cell a=8.5972 b=8.5972 c=4.6186 alpha=90.00 beta=90.00 gamma=120.00
With the nearest neighbours (Å) after each atom.
Sites, in units of the cell vectors:
Ba1 0.3333 0.6667 0.0000  6 Ga 3.57, 9 Cd 3.60-3.81
Ba2 0.6667 0.3333 0.0000  6 Ga 3.57, 9 Cd 3.60-3.81
Cd1 0.0000 0.1965 0.0000  2 Ga 2.75, 2 Cd 2.93
Cd2 0.0000 0.7034 0.5000  3 Ga 2.87-2.92
Cd3 0.1965 0.0000 0.0000  2 Ga 2.75, 2 Cd 2.93
Cd4 0.2966 0.2966 0.5000  3 Ga 2.87-2.92
Cd5 0.7034 0.0000 0.5000  3 Ga 2.87-2.92
Cd6 0.8036 0.8036 0.0000  2 Ga 2.75, 2 Cd 2.93
Ga1 0.0000 0.3701 0.5000  5 Cd 2.75-2.92
Ga2 0.3701 0.0000 0.5000  5 Cd 2.75-2.92
Ga3 0.6299 0.6299 0.5000  5 Cd 2.75-2.92

- VASP energy (eV/atom) = -1.950

=====

No. 2
Crystalline CsKNb3 at its relaxed geometry, computed with GGA-PBE.

Unit cell a=5.2050 b=5.2050 c=5.2050 alpha=90.00 beta=90.00 gamma=90.00
With the nearest neighbours (Å) after each atom.
Sites, in units of the cell vectors:
Cs1 0.0000 0.0000 0.0000  6 Nb 2.60
K1 0.5000 0.5000 0.5000  12 Nb 3.68
Nb1 0.0000 0.0000 0.5000  2 Cs 2.60
Nb2 0.0000 0.5000 0.0000  2 Cs 2.60
Nb3 0.5000 0.0000 0.0000  2 Cs 2.60

- offset from the most stable computed form (meV per atom) = 0

=====

Results for spin magnetization: 0.00 0.00 (in μB/f.u., following the order of the records).
Results for mass density: 6.506 5.307 (in g/cm³, following the order of the records).